Entry 1:
TaMnPd3 | GGA-PBE | optimized geometry

Results
E above lowest polymorph: 146 meV per atom
crystal system: orthorhombic

```
data_TaMnPd3
_chemical_formula_sum 'Ta4 Mn4 Pd12'
_cell_length_a 7.046
_cell_length_b 7.046
_cell_length_c 6.767
_cell_angle_alpha 90.00
_cell_angle_beta 90.00
_cell_angle_gamma 90.00
_symmetry_space_group_name_H-M 'P n m a'
_symmetry_Int_Tables_number 62
loop_
_symmetry_equiv_pos_as_xyz
'x,y,z'
'-x,-y,-z'
'-x+1/2,-y,z+1/2'
'x+1/2,y,-z+1/2'
'x+1/2,-y+1/2,-z+1/2'
'-x+1/2,y+1/2,z+1/2'
'-x,y+1/2,-z'
'x,-y+1/2,z'
loop_
_atom_site_label
_atom_site_type_symbol
_atom_site_fract_x
_atom_site_fract_y
_atom_site_fract_z
_atom_site_occupancy
Ta1 Ta 0.178 0.250 0.078 1
Mn1 Mn 0.000 0.000 0.500 1
Pd1 Pd 0.131 0.750 0.226 1
Pd2 Pd 0.138 0.555 0.854 1
```

=====

Entry 2:
TaMnPd14 | GGA-PBE | optimized geometry

Results
crystal system: tetragonal

```
data_TaMnPd14
_chemical_formula_sum 'Ta1 Mn1 Pd14'
_cell_length_a 5.616
_cell_length_b 5.616
_cell_length_c 7.805
_cell_angle_alpha 90.00
_cell_angle_beta 90.00
_cell_angle_gamma 90.00
_symmetry_space_group_name_H-M 'P 4/m m m'
_symmetry_Int_Tables_number 123
_symmetry_space_group_name_Hall '-P 4 2'
loop_
_atom_site_label
_atom_site_type_symbol
_atom_site_fract_x
_atom_site_fract_y
_atom_site_fract_z
_atom_site_occupancy
Ta1 Ta 0.000 0.000 0.000 1
Mn1 Mn 0.500 0.500 0.000 1
Pd1 Pd 0.000 0.000 0.500 1
Pd2 Pd 0.000 0.500 0.000 1
Pd3 Pd 0.000 0.500 0.500 1
Pd4 Pd 0.249 0.249 0.243 1
Pd5 Pd 0.500 0.500 0.500 1
```

=====

Entry 3:
TaMnPd4 | GGA-PBE | optimized geometry

Results
E above lowest polymorph: 145 meV per atom
crystal system: orthorhombic

```
data_TaMnPd4
_chemical_formula_sum 'Ta8 Mn8 Pd32'
_cell_length_a 5.566
_cell_length_b 9.193
_cell_length_c 14.986
_cell_angle_alpha 90.00
_cell_angle_beta 90.00
_cell_angle_gamma 90.00
_symmetry_space_group_name_H-M 'F d d d'
_symmetry_Int_Tables_number 70
loop_
_symmetry_equiv_pos_as_xyz
'x,y,z'
'-x,-y,-z'
'-x+1/4,-y+1/4,z'
'x+1/4,y+1/4,-z'
'x,-y+1/4,-z+1/4'
'-x,y+1/4,z+1/4'
'-x+1/4,y,-z+1/4'
'x+1/4,-y,z+1/4'
'x,y+1/2,z+1/2'
'-x,-y+1/2,-z+1/2'
'-x+1/4,-y+3/4,z+1/2'
'x+1/4,y+3/4,-z+1/2'
'x,-y+3/4,-z+3/4'
'-x,y+3/4,z+3/4'
'-x+1/4,y+1/2,-z+3/4'
'x+1/4,-y+1/2,z+3/4'
'x+1/2,y,z+1/2'
'-x+1/2,-y,-z+1/2'
'-x+3/4,-y+1/4,z+1/2'
'x+3/4,y+1/4,-z+1/2'
'x+1/2,-y+1/4,-z+3/4'
'-x+1/2,y+1/4,z+3/4'
'-x+3/4,y,-z+3/4'
'x+3/4,-y,z+3/4'
'x+1/2,y+1/2,z'
'-x+1/2,-y+1/2,-z'
'-x+3/4,-y+3/4,z'
'x+3/4,y+3/4,-z'
'x+1/2,-y+3/4,-z+1/4'
'-x+1/2,y+3/4,z+1/4'
'-x+3/4,y+1/2,-z+1/4'
'x+3/4,-y+1/2,z+1/4'
loop_
_atom_site_label
_atom_site_type_symbol
_atom_site_fract_x
_atom_site_fract_y
_atom_site_fract_z
_atom_site_occupancy
Ta1 Ta 0.125 0.125 0.125 1
Mn1 Mn 0.125 0.125 0.625 1
Pd1 Pd 0.123 0.375 0.032 1
```

=====

The following density values (in kg/m3) correspond, in order, to the records above: 10976 11641 11462.
The following total energy values (in eV per atom) correspond, in order, to the records above: -7.404 -6.065 -7.140.